1.
Here is a geometry-optimized PmInCuNi structure from the Alexandria database. Energies are from GGA-PBE.

The structure in POSCAR format:
```
PmInCuNi
1.0
-4.394 -1.666 0.598
-1.342 -3.981 -2.190
-0.712 -3.957 2.505
Pm In Ni Cu
1 1 1 1
direct
0.000 0.000 0.000
0.500 0.500 0.500
0.750 0.750 0.750
0.250 0.250 0.250
```

Values from the calculation:
Space-group type: F-43m
Density of states at the Fermi level, states/eV per atom: 1.0396
Magnetization, μB per cell: 0.00
ΔH_f (0 K), eV/atom: -0.27


2.
Here is a geometry-optimized Pm2InCu2Ni5 structure from the Alexandria database. Energies are from GGA-PBE.

The structure in POSCAR format:
```
Pm2InCu2Ni5
1.0
-0.272 -3.086 -2.100
5.251 3.937 -6.465
7.540 -3.415 4.044
Ni Pm Cu In
10 4 4 2
direct
0.500 0.283 0.563
0.500 0.000 0.500
0.500 0.937 0.217
0.500 0.717 0.437
0.500 0.563 0.717
0.500 0.217 0.063
0.500 0.437 0.283
0.500 0.063 0.783
0.500 0.783 0.937
0.500 0.500 0.000
0.000 0.181 0.319
0.000 0.819 0.681
0.000 0.681 0.181
0.000 0.319 0.819
0.000 0.115 0.615
0.000 0.885 0.385
0.000 0.615 0.885
0.000 0.385 0.115
0.000 0.500 0.500
0.000 0.000 0.000
```

Values from the calculation:
Space-group type: P4/mbm
Density of states at the Fermi level, states/eV per atom: 0.4547
Magnetization, μB per cell: 0.00
ΔH_f (0 K), eV/atom: -0.23


3.
Here is a geometry-optimized Pr2InCu3Ni12 structure from the Alexandria database. Energies are from GGA-PBE.

The structure in POSCAR format:
```
Pr2InCu3Ni12
1.0
9.128 1.766 1.253
6.043 7.065 1.253
6.043 3.518 6.254
Ni Cu In Pr
12 3 1 2
direct
0.872 0.464 0.872
0.416 0.416 0.795
0.536 0.128 0.128
0.584 0.205 0.584
0.416 0.795 0.416
0.584 0.584 0.205
0.464 0.872 0.872
0.795 0.416 0.416
0.128 0.128 0.536
0.205 0.584 0.584
0.872 0.872 0.464
0.128 0.536 0.128
0.000 0.000 0.500
0.000 0.500 0.000
0.500 0.000 0.000
0.000 0.000 0.000
0.638 0.638 0.638
0.362 0.362 0.362
```

Values from the calculation:
Space-group type: R-3m
Density of states at the Fermi level, states/eV per atom: 1.4693
Magnetization, μB per cell: 1.13
ΔH_f (0 K), eV/atom: 0.22


4.
Here is a geometry-optimized Pr2InCu12Ni3 structure from the Alexandria database. Energies are from GGA-PBE.

The structure in POSCAR format:
```
Pr2InCu12Ni3
1.0
-4.329 -4.842 -0.412
4.321 -4.843 -0.480
0.050 -1.602 6.308
Cu In Pr Ni
12 1 2 3
direct
0.577 0.577 0.152
0.848 0.423 0.423
0.796 0.796 0.286
0.577 0.152 0.577
0.204 0.714 0.204
0.152 0.577 0.577
0.714 0.204 0.204
0.204 0.204 0.714
0.286 0.796 0.796
0.423 0.423 0.848
0.423 0.848 0.423
0.796 0.286 0.796
0.000 0.000 0.000
0.742 0.742 0.742
0.258 0.258 0.258
0.000 0.000 0.500
0.000 0.500 0.000
0.500 0.000 0.000
```

Values from the calculation:
Space-group type: R-3m
Density of states at the Fermi level, states/eV per atom: 0.4553
Magnetization, μB per cell: 0.00
ΔH_f (0 K), eV/atom: 0.10


5.
Here is a geometry-optimized InCuNiPt structure from the Alexandria database. Energies are from GGA-PBE.

The structure in POSCAR format:
```
InCuNiPt
1.0
4.386 0.000 0.000
2.193 3.798 0.000
2.193 1.266 3.581
Pt Cu Ni In
1 1 1 1
direct
0.500 0.500 0.500
0.250 0.250 0.250
0.000 0.000 0.000
0.750 0.750 0.750
```

Values from the calculation:
Space-group type: F-43m
Density of states at the Fermi level, states/eV per atom: 0.6812
Magnetization, μB per cell: 0.00
ΔH_f (0 K), eV/atom: -0.18


6.
Here is a geometry-optimized PuInCuNi structure from the Alexandria database. Energies are from GGA-PBE.

The structure in POSCAR format:
```
PuInCuNi
1.0
-2.793 -3.484 -1.446
0.518 -4.314 1.776
-3.254 -1.754 2.893
In Pu Ni Cu
1 1 1 1
direct
0.000 0.000 0.000
0.500 0.500 0.500
0.750 0.750 0.750
0.250 0.250 0.250
```

Values from the calculation:
Space-group type: F-43m
Density of states at the Fermi level, states/eV per atom: 3.2866
Magnetization, μB per cell: 5.11
ΔH_f (0 K), eV/atom: -0.04


7.
Here is a geometry-optimized InCuNiRh structure from the Alexandria database. Energies are from GGA-PBE.

The structure in POSCAR format:
```
InCuNiRh
1.0
-0.974 2.060 3.685
-0.069 -2.177 3.746
3.077 0.700 2.970
Rh Cu Ni In
1 1 1 1
direct
0.750 0.750 0.750
0.500 0.500 0.500
0.250 0.250 0.250
0.000 0.000 0.000
```

Values from the calculation:
Space-group type: F-43m
Density of states at the Fermi level, states/eV per atom: 0.2883
Magnetization, μB per cell: 0.00
ΔH_f (0 K), eV/atom: -0.13


8.
Here is a geometry-optimized InCuNiRu structure from the Alexandria database. Energies are from GGA-PBE.

The structure in POSCAR format:
```
InCuNiRu
1.0
4.323 0.000 0.000
2.162 3.744 0.000
2.162 1.248 3.530
Ni Ru Cu In
1 1 1 1
direct
0.500 0.500 0.500
0.250 0.250 0.250
0.000 0.000 0.000
0.750 0.750 0.750
```

Values from the calculation:
Space-group type: F-43m
Density of states at the Fermi level, states/eV per atom: 1.6491
Magnetization, μB per cell: 0.78
ΔH_f (0 K), eV/atom: 0.18


- Which formula does entry 8 have?
  InCuNiRu


Please write out number 6 again, unchanged.
Here is a geometry-optimized PuInCuNi structure from the Alexandria database. Energies are from GGA-PBE.

The structure in POSCAR format:
```
PuInCuNi
1.0
-2.793 -3.484 -1.446
0.518 -4.314 1.776
-3.254 -1.754 2.893
In Pu Ni Cu
1 1 1 1
direct
0.000 0.000 0.000
0.500 0.500 0.500
0.750 0.750 0.750
0.250 0.250 0.250
```

Values from the calculation:
Space-group type: F-43m
Density of states at the Fermi level, states/eV per atom: 3.2866
Magnetization, μB per cell: 5.11
ΔH_f (0 K), eV/atom: -0.04


- Which value of ΔH_f (0 K) does entry 2 give?
  -0.23 eV/atom


- ΔH_f (0 K) of number 7 (InCuNiRh)?
  -0.13 eV/atom